! PBE+U Rb2CoBF6, relaxed; values from VASP
&SYSTEM
  ibrav = 0, nat = 10, ntyp = 4
/
ATOMIC_SPECIES
B 10.81 B.upf
Co 58.93 Co.upf
Rb 85.47 Rb.upf
F 19.00 F.upf
CELL_PARAMETERS angstrom
-1.540 5.307 -0.865
-3.768 -0.423 4.111
0.548 3.873 4.706
ATOMIC_POSITIONS angstrom
B -2.654 2.442 1.623
Co 0.000 0.000 0.000
Rb -1.823 5.811 2.732
Rb -2.937 2.946 5.220
F -1.698 2.869 2.544
F -3.062 5.887 5.408
F -1.388 1.277 0.849
F -3.920 3.606 2.397
F -2.123 3.808 0.437
F -3.185 1.075 2.810
! - DFT total energy (Ry/atom) = -0.340